No. 1
# InTe2H, optimized geometry, DFT PBE
data_InTe2H
_cell_length_a 7.171
_cell_length_b 7.171
_cell_length_c 7.171
_cell_angle_alpha 90.00
_cell_angle_beta 90.00
_cell_angle_gamma 90.00
_symmetry_space_group_name_H-M 'F m -3 m'
_symmetry_Int_Tables_number 225
_symmetry_space_group_name_Hall '-F 4 2 3'
loop_
_atom_site_label
_atom_site_type_symbol
_atom_site_fract_x
_atom_site_fract_y
_atom_site_fract_z
In1 In 0.000 0.000 0.000
Te1 Te 0.250 0.250 0.250
H1 H 0.000 0.000 0.500
# offset from the most stable computed form	633	meV per atom
# VASP energy	-2.573	eV/atom
# V	23.05	Å³ per atom

***

No. 2
# LaY2Sc, optimized geometry, DFT PBE
data_LaY2Sc
_cell_length_a 11.698
_cell_length_b 3.558
_cell_length_c 6.087
_cell_angle_alpha 90.00
_cell_angle_beta 100.66
_cell_angle_gamma 90.00
_symmetry_space_group_name_H-M 'C 1 m 1'
_symmetry_Int_Tables_number 8
loop_
_symmetry_equiv_pos_as_xyz
'x,y,z'
'x,-y,z'
'x+1/2,y+1/2,z'
'x+1/2,-y+1/2,z'
loop_
_atom_site_label
_atom_site_type_symbol
_atom_site_fract_x
_atom_site_fract_y
_atom_site_fract_z
La1 La 0.000 0.000 0.000
Y1 Y 0.245 0.000 0.748
Y2 Y 0.489 0.000 0.491
Sc1 Sc 0.244 0.500 0.247
# offset from the most stable computed form	16	meV per atom
# VASP energy	-5.996	eV/atom
# formation energy from the elements	0.051	eV per atom
# V	31.12	Å³ per atom

***

No. 3
# Dy8Ir3Au2, optimized geometry, DFT PBE
data_Dy8Ir3Au2
_cell_length_a 9.829
_cell_length_b 14.042
_cell_length_c 4.855
_cell_angle_alpha 90.00
_cell_angle_beta 90.00
_cell_angle_gamma 90.00
_symmetry_space_group_name_H-M 'C m m m'
_symmetry_Int_Tables_number 65
_symmetry_space_group_name_Hall '-C 2 2'
loop_
_atom_site_label
_atom_site_type_symbol
_atom_site_fract_x
_atom_site_fract_y
_atom_site_fract_z
Dy1 Dy 0.000 0.117 0.000
Dy2 Dy 0.000 0.381 0.000
Dy3 Dy 0.247 0.381 0.500
Ir1 Ir 0.000 0.500 0.500
Ir2 Ir 0.248 0.000 0.000
Au1 Au 0.000 0.243 0.500
# VASP energy	-6.059	eV/atom
# formation energy from the elements	-0.678	eV per atom
# V	25.77	Å³ per atom

***

No. 4
# MnAlBr2, optimized geometry, DFT PBE
data_MnAlBr2
_cell_length_a 3.756
_cell_length_b 3.951
_cell_length_c 14.805
_cell_angle_alpha 90.00
_cell_angle_beta 90.00
_cell_angle_gamma 90.00
_symmetry_space_group_name_H-M 'I m m m'
_symmetry_Int_Tables_number 71
_symmetry_space_group_name_Hall '-I 2 2'
loop_
_atom_site_label
_atom_site_type_symbol
_atom_site_fract_x
_atom_site_fract_y
_atom_site_fract_z
Mn1 Mn 0.000 0.000 0.000
Al1 Al 0.000 0.000 0.500
Br1 Br 0.000 0.500 0.364
# offset from the most stable computed form	154	meV per atom
# formation energy without anion corrections	-197.7	meV per atom
# VASP energy	-4.262	eV/atom
# V	27.46	Å³ per atom